Entry from OQMD: a geometry-optimized Tm2SiGe structure (PBE-GGA).

a b c (Å): 3.8471 5.6470 5.6470
angles (deg): 43.79 90.00 90.00
Element x y z (fractional)
1 Ge 0.0000 0.4182 0.4182
2 Si 0.5000 0.5831 0.5831
3 Tm 0.0000 0.1391 0.1391
4 Tm 0.5000 0.8596 0.8596

Properties
Raw total energy in eV per atom: -5.57
Volume in Å³ per atom: 21.223
SG: Amm2 (38)